[1]
# AgI3F (PBE, relaxed)
# E above lowest polymorph: 0.38 eV/f.u.
data_AgI3F
_cell_length_a 5.347
_cell_length_b 5.347
_cell_length_c 5.347
_cell_angle_alpha 90.00
_cell_angle_beta 90.00
_cell_angle_gamma 90.00
_space_group_name_H-M_alt 'P m -3 m'
_space_group_IT_number 221
_space_group_name_Hall '-P 4 2 3'
loop_
_atom_site_label
_atom_site_type_symbol
_atom_site_fract_x
_atom_site_fract_y
_atom_site_fract_z
_atom_site_occupancy
Ag1 Ag 0.000 0.000 0.000 1
I1 I 0.000 0.500 0.500 1
F1 F 0.500 0.500 0.500 1



[2]
DFT (PBE) results for crystalline Ag3IrI2F6 at its relaxed geometry.

CIF file:
```
data_Ag3IrI2F6
_cell_length_a 13.799
_cell_length_b 7.231
_cell_length_c 5.168
_cell_angle_alpha 90.00
_cell_angle_beta 93.22
_cell_angle_gamma 90.00
_space_group_name_H-M_alt 'C 1 2/m 1'
_space_group_IT_number 12
_space_group_name_Hall '-C 2y'
loop_
_atom_site_label
_atom_site_type_symbol
_atom_site_fract_x
_atom_site_fract_y
_atom_site_fract_z
_atom_site_occupancy
Ag1 Ag 0.000 0.000 0.000 1
Ag2 Ag 0.250 0.250 0.500 1
Ir1 Ir 0.000 0.500 0.500 1
I1 I 0.193 0.000 0.129 1
F1 F 0.063 0.307 0.709 1
F2 F 0.115 0.500 0.300 1
```



Number 1: E -1.63 eV/atom, density of states at the Fermi level 0.971 states/eV/atom, formation energy without anion corrections 0.240 eV/atom. Number 2: E -3.69 eV/atom, density of states at the Fermi level 0.699 states/eV/atom, formation energy without anion corrections -1.048 eV/atom.